DFT (PBE) results for crystalline Sc2CrCo at its relaxed geometry.

Geometry as POSCAR:
```
Sc2CrCo
1.0
3.391 0.000 0.000
0.000 2.130 4.914
0.000 -2.130 4.914
Sc Cr Co
2 1 1
direct
0.000 0.000 0.000
0.500 0.295 0.295
0.500 0.591 0.591
0.000 0.720 0.720
```

E in eV/f.u.: -29.19
Space-group type: Amm2
V in Å³ per atom: 17.745
N(E_F) in states/eV per cell: 4.7
DFT formation energy in meV per atom: 50
Total moment in μB per atom: 0.000